Computed, not measured: Ta2Be2Os after structural relaxation at the PBEsol level of DFT.

Calculated values
As for the total energy: -9.502 eV per atom. Its crystal system is tetragonal. As for the formation energy: -2.2 eV per formula unit.

Cell lengths 6.226, 6.226, 3.262 Å; angles 90.00, 90.00, 90.00 degrees
Atoms (fractional coordinates):
Ta: 0.174 0.326 0.000
Ta: 0.326 0.826 0.000
Ta: 0.674 0.174 0.000
Ta: 0.826 0.674 0.000
Be: 0.122 0.622 0.500
Be: 0.378 0.122 0.500
Be: 0.622 0.878 0.500
Be: 0.878 0.378 0.500
Os: 0.000 0.000 0.500
Os: 0.500 0.500 0.500